[1]
! GGA-PBE KNa2Tl2In, optimized geometry; values from VASP
&SYSTEM
  ibrav = 0, nat = 12, ntyp = 4
/
ATOMIC_SPECIES
K 39.10 K.upf
Na 22.99 Na.upf
Tl 204.38 Tl.upf
In 114.82 In.upf
ATOMIC_POSITIONS angstrom
K 0.0000 0.1042 0.0000
K 0.0000 11.2612 3.5921
Na 0.0000 3.8100 0.0545
Na 0.0000 7.5554 3.6466
Na 2.3207 5.6476 1.9106
Na 2.3207 5.7178 5.5027
Tl 0.0000 3.8882 3.6984
Tl 0.0000 7.4773 0.1063
Tl 2.3207 2.2593 1.9348
Tl 2.3207 9.1061 5.5270
In 2.3207 2.3450 5.2658
In 2.3207 9.0204 1.6737
CELL_PARAMETERS angstrom
4.6414 0.0000 0.0000
0.0000 11.3654 0.0000
0.0000 0.0000 7.1842
! Energy: -23.485 eV/cell
! Crystal system: orthorhombic
! Total moment: 0.00 μB per cell
! D(E_F): 3.701 states/eV/cell
! Calculated formation energy: -0.089 eV/atom



[2]
! GGA-PBE KNaTl6In, optimized geometry; values from VASP
&SYSTEM
  ibrav = 0, nat = 18, ntyp = 4
/
ATOMIC_SPECIES
K 39.10 K.upf
Na 22.99 Na.upf
Tl 204.38 Tl.upf
In 114.82 In.upf
ATOMIC_POSITIONS angstrom
K 0.0000 2.8398 1.5385
K 3.1331 2.8398 7.7903
Na 3.1331 0.0000 0.0000
Na 0.0000 0.0000 9.3288
Tl 3.1331 -2.8398 7.4912
Tl 1.5707 -0.0485 3.0331
Tl 4.6955 -0.0485 3.0331
Tl 1.5707 5.6312 -3.0331
Tl 1.5624 -0.0485 6.2957
Tl 3.1331 2.8398 4.0313
Tl 0.0000 2.8398 5.2975
Tl 1.5707 5.7281 3.0331
Tl 1.5624 0.0485 12.3619
Tl -1.5624 5.7281 6.2957
Tl 1.5624 5.7281 6.2957
Tl 0.0000 8.5195 1.8376
In 1.5665 2.8398 -4.6644
In 1.5665 -2.8398 4.6644
CELL_PARAMETERS angstrom
-3.1331 5.6797 9.3288
3.1331 -5.6797 9.3288
3.1331 5.6797 -9.3288
! Energy: -37.989 eV/cell
! Crystal system: orthorhombic
! Total moment: 0.00 μB per cell
! D(E_F): 5.905 states/eV/cell
! Calculated formation energy: 0.040 eV/atom



[3]
! GGA-PBE KNa2Tl2In2, optimized geometry; values from VASP
&SYSTEM
  ibrav = 0, nat = 7, ntyp = 4
/
ATOMIC_SPECIES
K 39.10 K.upf
Na 22.99 Na.upf
Tl 204.38 Tl.upf
In 114.82 In.upf
ATOMIC_POSITIONS angstrom
K 0.0000 0.0000 0.0000
Na 4.0669 0.0000 2.2482
Na 5.6723 0.0000 5.4868
Tl 2.4019 0.0000 6.2568
Tl 7.3373 0.0000 1.4782
In 1.0138 0.0000 3.4512
In 8.7255 0.0000 4.2838
CELL_PARAMETERS angstrom
5.3965 -2.5589 0.0000
5.3965 2.5589 0.0000
-1.0537 0.0000 7.7350
! Energy: -14.557 eV/cell
! Crystal system: monoclinic
! Total moment: 0.00 μB per cell
! D(E_F): 3.329 states/eV/cell
! Calculated formation energy: -0.087 eV/atom



[4]
! GGA-PBE K2NaTl5In2, optimized geometry; values from VASP
&SYSTEM
  ibrav = 0, nat = 20, ntyp = 4
/
ATOMIC_SPECIES
K 39.10 K.upf
Na 22.99 Na.upf
Tl 204.38 Tl.upf
In 114.82 In.upf
ATOMIC_POSITIONS angstrom
K 2.0939 3.9781 0.0000
K 3.9781 10.0501 0.0000
K 8.1660 2.0939 0.0000
K 10.0501 8.1660 0.0000
Na 0.0000 0.0000 0.0000
Na 6.0720 6.0720 0.0000
Tl 0.0000 6.0720 2.2224
Tl 0.7180 9.7638 2.2224
Tl 2.3802 0.7180 2.2224
Tl 3.6918 6.7900 2.2224
Tl 5.3541 3.6918 2.2224
Tl 6.0720 0.0000 2.2224
Tl 6.7900 8.4523 2.2224
Tl 8.4523 5.3541 2.2224
Tl 9.7638 11.4261 2.2224
Tl 11.4261 2.3802 2.2224
In 1.5657 7.6377 0.0000
In 4.5063 1.5657 0.0000
In 7.6377 10.5784 0.0000
In 10.5784 4.5063 0.0000
CELL_PARAMETERS angstrom
12.1441 0.0000 0.0000
0.0000 12.1441 0.0000
0.0000 0.0000 4.4449
! Energy: -43.140 eV/cell
! Crystal system: tetragonal
! Total moment: 0.00 μB per cell
! D(E_F): 11.141 states/eV/cell
! Calculated formation energy: -0.075 eV/atom



[5]
! GGA-PBE K2Na5TlIn2, optimized geometry; values from VASP
&SYSTEM
  ibrav = 0, nat = 20, ntyp = 4
/
ATOMIC_SPECIES
K 39.10 K.upf
Na 22.99 Na.upf
Tl 204.38 Tl.upf
In 114.82 In.upf
ATOMIC_POSITIONS angstrom
K 2.1762 4.0644 0.0000
K 4.0644 10.3050 0.0000
K 8.4168 2.1762 0.0000
K 10.3050 8.4168 0.0000
Na 0.0000 6.2406 2.3391
Na 0.7912 10.0349 2.3391
Na 2.4464 0.7912 2.3391
Na 3.7942 7.0318 2.3391
Na 5.4494 3.7942 2.3391
Na 6.2406 0.0000 2.3391
Na 7.0318 8.6870 2.3391
Na 8.6870 5.4494 2.3391
Na 10.0349 11.6900 2.3391
Na 11.6900 2.4464 2.3391
Tl 0.0000 0.0000 0.0000
Tl 6.2406 6.2406 0.0000
In 1.5353 7.7759 0.0000
In 4.7053 1.5353 0.0000
In 7.7759 10.9459 0.0000
In 10.9459 4.7053 0.0000
CELL_PARAMETERS angstrom
12.4812 0.0000 0.0000
0.0000 12.4812 0.0000
0.0000 0.0000 4.6782
! Energy: -33.968 eV/cell
! Crystal system: tetragonal
! Total moment: 0.00 μB per cell
! D(E_F): 9.452 states/eV/cell
! Calculated formation energy: -0.035 eV/atom



[6]
! GGA-PBE K2NaZnIn, optimized geometry; values from VASP
&SYSTEM
  ibrav = 0, nat = 5, ntyp = 4
/
ATOMIC_SPECIES
K 39.10 K.upf
Na 22.99 Na.upf
Zn 65.41 Zn.upf
In 114.82 In.upf
ATOMIC_POSITIONS angstrom
K 0.0000 3.3076 0.0000
K 3.3076 0.0000 0.0000
Na 0.0000 0.0000 2.5181
Zn 3.3076 3.3076 0.0000
In 3.3076 3.3076 2.5181
CELL_PARAMETERS angstrom
6.6152 0.0000 0.0000
0.0000 6.6152 0.0000
0.0000 0.0000 5.0361
! Energy: -6.998 eV/cell
! Crystal system: tetragonal
! Total moment: 0.00 μB per cell
! D(E_F): 2.553 states/eV/cell
! Calculated formation energy: 0.106 eV/atom



[7]
! GGA-PBE KNa2ZnIn, optimized geometry; values from VASP
&SYSTEM
  ibrav = 0, nat = 5, ntyp = 4
/
ATOMIC_SPECIES
K 39.10 K.upf
Na 22.99 Na.upf
Zn 65.41 Zn.upf
In 114.82 In.upf
ATOMIC_POSITIONS angstrom
K 0.0000 0.0000 0.0000
Na 0.0000 3.0295 2.5508
Na 3.0295 0.0000 2.5508
Zn 3.0295 3.0295 0.0000
In 3.0295 3.0295 2.5508
CELL_PARAMETERS angstrom
6.0590 0.0000 0.0000
0.0000 6.0590 0.0000
0.0000 0.0000 5.1017
! Energy: -7.371 eV/cell
! Crystal system: tetragonal
! Offset from the most stable computed form: 37.2 meV/atom
! Total moment: 0.00 μB per cell
! D(E_F): 1.789 states/eV/cell
! Calculated formation energy: 0.075 eV/atom



[8]
! GGA-PBE KNa2ZnIn, optimized geometry; values from VASP
&SYSTEM
  ibrav = 0, nat = 5, ntyp = 4
/
ATOMIC_SPECIES
K 39.10 K.upf
Na 22.99 Na.upf
Zn 65.41 Zn.upf
In 114.82 In.upf
ATOMIC_POSITIONS angstrom
K 0.0000 0.0000 0.0000
Na 0.0000 2.9114 2.5560
Na 2.9114 0.0000 2.5560
Zn 2.9114 2.9114 2.5560
In 2.9114 2.9114 0.0000
CELL_PARAMETERS angstrom
5.8228 0.0000 0.0000
0.0000 5.8228 0.0000
0.0000 0.0000 5.1119
! Energy: -7.557 eV/cell
! Crystal system: tetragonal
! Offset from the most stable computed form: 0.0 meV/atom
! Total moment: 0.00 μB per cell
! D(E_F): 1.490 states/eV/cell
! Calculated formation energy: 0.038 eV/atom